Here is a relaxed structure of SrGaSn from Alexandria. Energies are from GGA-PBE.

The structure in POSCAR format:
```
SrGaSn
1.0
-0.859 0.598 4.237
1.944 -4.257 0.995
8.466 1.529 1.501
Ga Sn Sr
2 2 2
direct
0.250 0.459 0.082
0.750 0.541 0.918
0.250 0.293 0.414
0.750 0.707 0.586
0.750 0.900 0.200
0.250 0.100 0.800
```

Values from the calculation:
Space-group type ... Cmcm, No. 63
Total magnetic moment ... 0.00 Bohr magnetons per cell
D(E_F) ... 0.47 states/eV/atom
E above lowest polymorph ... 0.148 eV per atom
Calculated formation energy ... -0.40 eV per atom